(1)
The following is a PBE calculation of a relaxed RbEuF3 crystal, from the Alexandria database.

POSCAR file:
```
RbEuF3
1.0
4.7871 0.0000 0.0000
0.0000 4.7871 0.0000
0.0000 0.0000 4.7871
Rb Eu F
1 1 3
direct
0.0000 0.0000 0.0000
0.5000 0.5000 0.5000
0.0000 0.5000 0.5000
0.5000 0.0000 0.5000
0.5000 0.5000 0.0000
```

## Properties
Energy   -33.381 eV per formula unit
D(E_F)   13.030 states/eV per cell
V   110 Å³/cell
Space group   Pm-3m, No. 221


(2)
The following is a PBE calculation of a relaxed KAsRh2 crystal, from the Alexandria database.

POSCAR file:
```
KAsRh2
1.0
3.0411 -4.5662 0.0000
3.0411 4.5662 0.0000
-1.3350 0.0000 2.5313
K As Rh
1 1 2
direct
0.0000 0.0000 0.0000
0.5000 0.5000 0.0000
0.0000 0.5000 0.0000
0.5000 0.0000 0.0000
```

## Properties
Energy   -18.448 eV per formula unit
D(E_F)   4.547 states/eV per cell
V   70 Å³/cell
Space group   C2/m, No. 12


(3)
The following is a PBE calculation of a relaxed Zr2CdH2 crystal, from the Alexandria database.

POSCAR file:
```
Zr2CdH2
1.0
-1.8792 1.8792 4.9935
1.8792 -1.8792 4.9935
1.8792 1.8792 -4.9935
Zr Cd H
2 1 2
direct
0.1566 0.1566 0.0000
0.8434 0.8434 0.0000
0.5000 0.5000 0.0000
0.2500 0.7500 0.5000
0.7500 0.2500 0.5000
```

## Properties
Energy   -26.500 eV per formula unit
D(E_F)   2.527 states/eV per cell
V   71 Å³/cell
Space group   I4/mmm, No. 139


(4)
The following is a PBE calculation of a relaxed YbAlRh crystal, from the Alexandria database.

POSCAR file:
```
YbAlRh
1.0
7.0421 0.0000 0.0000
0.0000 4.0870 0.0000
0.0000 0.0000 7.8939
Yb Al Rh
4 4 4
direct
0.0279 0.2500 0.1729
0.4721 0.7500 0.6729
0.5279 0.2500 0.3271
0.9721 0.7500 0.8271
0.1374 0.2500 0.5585
0.3626 0.7500 0.0585
0.6374 0.2500 0.9415
0.8626 0.7500 0.4415
0.2176 0.7500 0.3728
0.2824 0.2500 0.8728
0.7176 0.7500 0.1272
0.7824 0.2500 0.6272
```

## Properties
Energy   -15.057 eV per formula unit
D(E_F)   5.077 states/eV per cell
V   227 Å³/cell
Space group   Pnma, No. 62


(5)
The following is a PBE calculation of a relaxed Rb2TlTc crystal, from the Alexandria database.

POSCAR file:
```
Rb2TlTc
1.0
0.0000 4.3154 4.3154
4.3154 0.0000 4.3154
4.3154 4.3154 0.0000
Rb Tl Tc
2 1 1
direct
0.2500 0.2500 0.2500
0.7500 0.7500 0.7500
0.0000 0.0000 0.0000
0.5000 0.5000 0.5000
```

## Properties
Energy relative to the lowest polymorph listed for this composition   87.6 kJ/mol of formula units
D(E_F)   3.286 states/eV per cell
V   161 Å³/cell
Space group   Fm-3m, No. 225


(6)
The following is a PBE calculation of a relaxed ErInAg crystal, from the Alexandria database.

POSCAR file:
```
ErInAg
1.0
-1.7230 1.7230 5.8461
1.7230 -1.7230 5.8461
1.7230 1.7230 -5.8461
Er In Ag
1 1 1
direct
0.0000 0.0000 0.0000
0.3136 0.3136 0.0000
0.6641 0.6641 0.0000
```

## Properties
Energy   -10.924 eV per formula unit
D(E_F)   2.252 states/eV per cell
V   69 Å³/cell
Space group   I4mm, No. 107


(7)
The following is a PBE calculation of a relaxed Zn2FeSb crystal, from the Alexandria database.

POSCAR file:
```
Zn2FeSb
1.0
2.9786 0.0000 0.0000
0.0000 5.0634 0.0000
-0.4007 0.0000 4.5068
Zn Fe Sb
2 1 1
direct
0.2439 0.0000 0.2652
0.7561 0.0000 0.7348
0.5000 0.5000 0.5000
0.0000 0.5000 0.0000
```

## Properties
Energy   -14.057 eV per formula unit
D(E_F)   3.374 states/eV per cell
V   68 Å³/cell
Space group   P2/m, No. 10


(8)
The following is a PBE calculation of a relaxed CaCu4P2 crystal, from the Alexandria database.

POSCAR file:
```
CaCu4P2
1.0
7.3287 0.0000 0.0000
0.0000 7.3287 0.0000
0.0000 0.0000 3.7819
Ca Cu P
2 8 4
direct
0.0000 0.0000 0.0000
0.5000 0.5000 0.5000
0.0828 0.3354 0.5000
0.1646 0.5828 0.0000
0.3354 0.0828 0.5000
0.4172 0.8354 0.0000
0.5828 0.1646 0.0000
0.6646 0.9172 0.5000
0.8354 0.4172 0.0000
0.9172 0.6646 0.5000
0.2199 0.7801 0.5000
0.2801 0.2801 0.0000
0.7199 0.7199 0.0000
0.7801 0.2199 0.5000
```

## Properties
Energy   -32.366 eV per formula unit
D(E_F)   1.863 states/eV per cell
V   203 Å³/cell
Space group   P4_2/mnm, No. 136


(9)
The following is a PBE calculation of a relaxed Si3SnBr crystal, from the Alexandria database.

POSCAR file:
```
Si3SnBr
1.0
5.0337 0.0000 0.0000
0.0000 5.0337 0.0000
0.0000 0.0000 5.0337
Si Sn Br
3 1 1
direct
0.0000 0.0000 0.5000
0.0000 0.5000 0.0000
0.5000 0.0000 0.0000
0.5000 0.5000 0.5000
0.0000 0.0000 0.0000
```

## Properties
Energy relative to the lowest polymorph listed for this composition   0.0 kJ/mol of formula units
D(E_F)   3.203 states/eV per cell
V   128 Å³/cell
Space group   Pm-3m, No. 221


(10)
The following is a PBE calculation of a relaxed KBaNaH crystal, from the Alexandria database.

POSCAR file:
```
KBaNaH
1.0
5.1646 0.0000 0.0000
0.0000 5.1646 0.0000
0.0000 0.0000 11.7324
K Ba Na H
2 2 2 2
direct
0.2500 0.7500 0.0000
0.7500 0.2500 0.0000
0.2500 0.2500 0.4034
0.7500 0.7500 0.5966
0.2500 0.2500 0.7459
0.7500 0.7500 0.2541
0.2500 0.7500 0.5000
0.7500 0.2500 0.5000
```

## Properties
Energy   -8.036 eV per formula unit
D(E_F)   4.910 states/eV per cell
V   313 Å³/cell
Space group   P4/nmm, No. 129


(11)
The following is a PBE calculation of a relaxed Li2TaN2 crystal, from the Alexandria database.

POSCAR file:
```
Li2TaN2
1.0
2.6583 -1.5345 0.0000
2.6583 1.5345 0.0000
-1.9514 0.0000 7.8517
Li Ta N
2 1 2
direct
0.2250 0.2250 0.2054
0.7750 0.7750 0.7946
0.0000 0.0000 0.5000
0.3901 0.3901 0.6531
0.6099 0.6099 0.3469
```

## Properties
Energy   -36.757 eV per formula unit
D(E_F)   0.893 states/eV per cell
V   64 Å³/cell
Space group   C2/m, No. 12


(12)
The following is a PBE calculation of a relaxed LaBiAu3 crystal, from the Alexandria database.

POSCAR file:
```
LaBiAu3
1.0
5.3578 0.0000 0.0000
0.0000 5.3578 0.0000
0.0000 0.0000 5.3578
La Bi Au
1 1 3
direct
0.0000 0.0000 0.0000
0.5000 0.5000 0.5000
0.0000 0.5000 0.5000
0.5000 0.0000 0.5000
0.5000 0.5000 0.0000
```

## Properties
Energy relative to the lowest polymorph listed for this composition   300.9 kJ/mol of formula units
D(E_F)   5.585 states/eV per cell
V   154 Å³/cell
Space group   Pm-3m, No. 221


(13)
The following is a PBE calculation of a relaxed Si5Se crystal, from the Alexandria database.

POSCAR file:
```
Si5Se
1.0
6.0639 0.0000 0.0000
-3.0319 5.2515 0.0000
0.0000 0.0000 3.2410
Si Se
5 1
direct
0.0000 0.6391 0.0000
0.3333 0.6667 0.5000
0.3609 0.3609 0.0000
0.6391 0.0000 0.0000
0.6667 0.3333 0.5000
0.0000 0.0000 0.5000
```

## Properties
Energy relative to the lowest polymorph listed for this composition   43.6 kJ/mol of formula units
D(E_F)   2.734 states/eV per cell
V   103 Å³/cell
Space group   P-62m, No. 189


(14)
The following is a PBE calculation of a relaxed Pm5Pr8Er crystal, from the Alexandria database.

POSCAR file:
```
Pm5Pr8Er
1.0
-4.9437 4.9437 5.1563
4.9437 -4.9437 5.1563
4.9437 4.9437 -5.1563
Pm Pr Er
5 8 1
direct
0.0000 0.0000 0.0000
0.2166 0.5292 0.8987
0.4708 0.3695 0.6875
0.6305 0.3179 0.1013
0.6821 0.7834 0.3125
0.1621 0.0627 0.7319
0.3309 0.4303 0.2681
0.4213 0.0246 0.2601
0.5697 0.8379 0.9006
0.7645 0.1613 0.7399
0.8387 0.5787 0.6033
0.9373 0.6691 0.0994
0.9754 0.2355 0.3967
0.2500 0.7500 0.5000
```

## Properties
Energy   -63.213 eV per formula unit
D(E_F)   21.109 states/eV per cell
V   504 Å³/cell
Space group   I-4, No. 82


(15)
The following is a PBE calculation of a relaxed Zr2HCl crystal, from the Alexandria database.

POSCAR file:
```
Zr2HCl
1.0
0.0000 3.1651 3.1651
3.1651 0.0000 3.1651
3.1651 3.1651 0.0000
Zr H Cl
2 1 1
direct
0.2500 0.2500 0.2500
0.7500 0.7500 0.7500
0.0000 0.0000 0.0000
0.5000 0.5000 0.5000
```

## Properties
Energy relative to the lowest polymorph listed for this composition   173.8 kJ/mol of formula units
D(E_F)   2.598 states/eV per cell
V   63 Å³/cell
Space group   Fm-3m, No. 225


(16)
The following is a PBE calculation of a relaxed Tl2CuF11 crystal, from the Alexandria database.

POSCAR file:
```
Tl2CuF11
1.0
-4.1195 5.2426 5.0730
4.1195 -5.2426 5.0730
4.1195 5.2426 -5.0730
Tl Cu F
4 2 22
direct
0.2133 0.1157 0.3291
0.2867 0.6157 0.9024
0.7133 0.3843 0.0976
0.7867 0.8843 0.6709
0.2500 0.7500 0.5000
0.7500 0.2500 0.5000
0.0000 0.0000 0.0000
0.0062 0.6302 0.3851
0.0387 0.0212 0.6773
0.1561 0.4788 0.0175
0.1697 0.8448 0.0146
0.2451 0.6211 0.6149
0.2549 0.8698 0.3760
0.3303 0.3448 0.6751
0.3439 0.3613 0.3227
0.4613 0.1387 0.9825
0.4938 0.8789 0.6240
0.5000 0.5000 0.0000
0.5062 0.1211 0.3760
0.5387 0.8613 0.0175
0.6561 0.6387 0.6773
0.6697 0.6552 0.3249
0.7451 0.1302 0.6240
0.7549 0.3789 0.3851
0.8303 0.1552 0.9854
0.8439 0.5212 0.9825
0.9613 0.9788 0.3227
0.9938 0.3698 0.6149
```

## Properties
Energy   -46.591 eV per formula unit
D(E_F)   30.678 states/eV per cell
V   438 Å³/cell
Space group   Ibam, No. 72


(17)
The following is a PBE calculation of a relaxed Ac3Ag4Ge2 crystal, from the Alexandria database.

POSCAR file:
```
Ac3Ag4Ge2
1.0
5.8677 -2.3419 0.0000
5.8677 2.3419 0.0000
-2.9999 0.0000 8.7823
Ac Ag Ge
3 4 2
direct
0.0000 0.0000 0.0000
0.3316 0.3316 0.3390
0.6684 0.6684 0.6610
0.0542 0.0542 0.3849
0.2832 0.2832 0.9408
0.7168 0.7168 0.0592
0.9458 0.9458 0.6151
0.3924 0.3924 0.7230
0.6076 0.6076 0.2770
```

## Properties
Energy   -37.224 eV per formula unit
D(E_F)   3.058 states/eV per cell
V   241 Å³/cell
Space group   C2/m, No. 12


(18)
The following is a PBE calculation of a relaxed Dy5Er12Zr2 crystal, from the Alexandria database.

POSCAR file:
```
Dy5Er12Zr2
1.0
8.9830 -3.6657 0.0000
8.9830 3.6657 0.0000
-3.1313 0.0000 8.8682
Dy Er Zr
5 12 2
direct
0.0000 0.0000 0.0000
0.2018 0.2018 0.7121
0.3128 0.3128 0.2899
0.6872 0.6872 0.7101
0.7982 0.7982 0.2879
0.0184 0.0184 0.6909
0.0894 0.5985 0.6240
0.0903 0.5945 0.9947
0.4015 0.9106 0.3760
0.4055 0.9097 0.0053
0.4949 0.4949 0.8150
0.5051 0.5051 0.1850
0.5945 0.0903 0.9947
0.5985 0.0894 0.6240
0.9097 0.4055 0.0053
0.9106 0.4015 0.3760
0.9816 0.9816 0.3091
0.3239 0.6761 0.5000
0.6761 0.3239 0.5000
```

## Properties
Energy   -91.585 eV per formula unit
D(E_F)   25.770 states/eV per cell
V   584 Å³/cell
Space group   C2/m, No. 12


(19)
The following is a PBE calculation of a relaxed Tb2Pr2Sm4Tm crystal, from the Alexandria database.

POSCAR file:
```
Tb2Pr2Sm4Tm
1.0
9.4529 -1.8268 0.0000
9.4529 1.8268 0.0000
-4.1862 0.0000 8.7436
Tb Pr Sm Tm
2 2 4 1
direct
0.1471 0.1471 0.1646
0.8529 0.8529 0.8354
0.3351 0.3351 0.5019
0.6649 0.6649 0.4981
0.1857 0.1857 0.8343
0.4813 0.4813 0.1669
0.5187 0.5187 0.8331
0.8143 0.8143 0.1657
0.0000 0.0000 0.5000
```

## Properties
Energy   -42.106 eV per formula unit
D(E_F)   11.657 states/eV per cell
V   302 Å³/cell
Space group   C2/m, No. 12


(20)
The following is a PBE calculation of a relaxed ErNiPb crystal, from the Alexandria database.

POSCAR file:
```
ErNiPb
1.0
-1.6946 1.6946 5.6926
1.6946 -1.6946 5.6926
1.6946 1.6946 -5.6926
Er Ni Pb
1 1 1
direct
0.0000 0.0000 0.0000
0.3625 0.3625 0.0000
0.7166 0.7166 0.0000
```

## Properties
Energy   -14.676 eV per formula unit
D(E_F)   2.565 states/eV per cell
V   65 Å³/cell
Space group   I4mm, No. 107


(21)
The following is a PBE calculation of a relaxed YTiPd2 crystal, from the Alexandria database.

POSCAR file:
```
YTiPd2
1.0
4.8079 0.0000 0.0000
0.0000 4.8079 0.0000
0.0000 0.0000 3.2571
Y Ti Pd
1 1 2
direct
0.0000 0.0000 0.0000
0.5000 0.5000 0.0000
0.0000 0.5000 0.5000
0.5000 0.0000 0.5000
```

## Properties
Energy relative to the lowest polymorph listed for this composition   28.4 kJ/mol of formula units
D(E_F)   4.042 states/eV per cell
V   75 Å³/cell
Space group   P4/mmm, No. 123


(22)
The following is a PBE calculation of a relaxed VPdS2 crystal, from the Alexandria database.

POSCAR file:
```
VPdS2
1.0
6.3208 -1.5994 0.0000
6.3208 1.5994 0.0000
-0.2078 0.0000 7.1459
V Pd S
2 2 4
direct
0.0000 0.0000 0.0000
0.5570 0.5570 0.3282
0.2026 0.2026 0.8261
0.9790 0.9790 0.6216
0.1541 0.1541 0.4958
0.3940 0.3940 0.8358
0.6366 0.6366 0.0489
0.9185 0.9185 0.2823
```

## Properties
Energy   -25.075 eV per formula unit
D(E_F)   5.728 states/eV per cell
V   144 Å³/cell
Space group   Cm, No. 8


(23)
The following is a PBE calculation of a relaxed Ba3Bi2SbPd9 crystal, from the Alexandria database.

POSCAR file:
```
Ba3Bi2SbPd9
1.0
7.0794 0.0000 0.0000
-3.5397 6.1309 0.0000
0.0000 0.0000 9.4150
Ba Bi Sb Pd
3 2 1 9
direct
0.0000 0.0000 0.0000
0.3333 0.6667 0.6904
0.6667 0.3333 0.3096
0.3333 0.6667 0.1912
0.6667 0.3333 0.8088
0.0000 0.0000 0.5000
0.0000 0.5000 0.0000
0.1325 0.2650 0.2864
0.1325 0.8675 0.2864
0.2650 0.1325 0.7136
0.5000 0.0000 0.0000
0.5000 0.5000 0.0000
0.7350 0.8675 0.2864
0.8675 0.1325 0.7136
0.8675 0.7350 0.7136
```

## Properties
Energy   -70.177 eV per formula unit
D(E_F)   5.346 states/eV per cell
V   409 Å³/cell
Space group   P-3m1, No. 164


(24)
The following is a PBE calculation of a relaxed ReAg crystal, from the Alexandria database.

POSCAR file:
```
ReAg
1.0
-4.1109 4.1109 4.1109
4.1109 -4.1109 4.1109
4.1109 4.1109 -4.1109
Re Ag
4 4
direct
0.0000 0.0000 0.2123
0.0000 0.2123 0.0000
0.2123 0.0000 0.0000
0.7877 0.7877 0.7877
0.0000 0.0000 0.5877
0.0000 0.5877 0.0000
0.4123 0.4123 0.4123
0.5877 0.0000 0.0000
```

## Properties
Energy relative to the lowest polymorph listed for this composition   333.9 kJ/mol of formula units
D(E_F)   12.554 states/eV per cell
V   278 Å³/cell
Space group   I-43m, No. 217